(1)
Computed, not measured: crystalline TaTe2AsSe at its relaxed geometry at the PBE level of DFT.

space group = P4/mmm
ΔE_f (raw) = 1.07 eV/atom
total magnetization = 1.97 μB/cell

```
TaTe2AsSe
1.0
5.3210 0.0000 0.0000
0.0000 5.3210 0.0000
0.0000 0.0000 4.8426
Ta Te As Se
1 2 1 1
direct
0.0000 0.0000 0.0000 Ta
0.0000 0.5000 0.5000 Te
0.5000 0.0000 0.5000 Te
0.5000 0.5000 0.5000 As
0.5000 0.5000 0.0000 Se
```

---

(2)
Computed, not measured: crystalline TaTeAsSe2 at its relaxed geometry at the PBE level of DFT.

space group = P4/mmm
ΔE_f (raw) = 0.15 eV/atom
ΔE to the lowest computed polymorph = 0 meV/atom
total magnetization = 0.00 μB/cell

```
TaTeAsSe2
1.0
4.9200 0.0000 0.0000
0.0000 4.9200 0.0000
0.0000 0.0000 5.3281
Ta Te As Se
1 1 1 2
direct
0.0000 0.0000 0.0000 Ta
0.5000 0.5000 0.5000 Te
0.0000 0.0000 0.5000 As
0.0000 0.5000 0.0000 Se
0.5000 0.0000 0.0000 Se
```

---

(3)
Computed, not measured: crystalline TaTl2As2Se6 at its relaxed geometry at the PBE level of DFT.

space group = C2/m
ΔE_f (raw) = -0.30 eV/atom
total magnetization = 0.00 μB/cell

```
TaTl2As2Se6
1.0
6.9656 -3.5594 0.0000
6.9656 3.5594 0.0000
-2.8537 0.0000 6.5046
Ta Tl As Se
1 2 2 6
direct
0.0000 0.0000 0.0000 Ta
0.2543 0.2543 0.7508 Tl
0.7457 0.7457 0.2492 Tl
0.4701 0.4701 0.6468 As
0.5299 0.5299 0.3532 As
0.1679 0.6563 0.1484 Se
0.1773 0.1773 0.2808 Se
0.3437 0.8321 0.8516 Se
0.6563 0.1679 0.1484 Se
0.8227 0.8227 0.7192 Se
0.8321 0.3437 0.8516 Se
```